Entry 1:
{"formula": "Tb6Tl6Hg", "functional": "GGA-PBE", "state": "relaxed", "lattice": [[-1.806, -0.578, -6.211], [5.796, -2.214, 1.916], [-4.259, -9.326, 2.106]], "species": ["Tb", "Tb", "Tb", "Tb", "Tb", "Tb", "Hg", "Tl", "Tl", "Tl", "Tl", "Tl", "Tl"], "fractional_positions": [[0.667, 0.333, 0.500], [0.333, 0.667, 0.000], [0.333, 0.667, 0.500], [0.667, 0.333, 0.000], [0.000, 0.000, 0.690], [0.000, 0.000, 0.310], [0.000, 0.000, 0.000], [0.500, 0.500, 0.750], [0.500, 0.000, 0.750], [0.000, 0.500, 0.750], [0.000, 0.500, 0.250], [0.500, 0.000, 0.250], [0.500, 0.500, 0.250]]}



Entry 2:
{"formula": "SrCaPdRh2", "functional": "GGA-PBE", "state": "relaxed", "lattice": [[4.741, 0.000, 0.000], [0.000, 5.651, 0.000], [0.000, 0.000, 4.741]], "species": ["Sr", "Pd", "Ca", "Rh", "Rh"], "fractional_positions": [[0.000, 0.500, 0.000], [0.500, 0.500, 0.500], [0.000, 0.000, 0.000], [0.000, 0.000, 0.500], [0.500, 0.000, 0.000]]}



Entry 3:
{"formula": "SrSbPI2", "functional": "GGA-PBE", "state": "relaxed", "polymorph_energy_mev_per_atom": 550.2, "raw_formation_energy_kj_per_mol_atoms": 30.0, "lattice": [[6.239, 0.000, 0.000], [0.000, 6.239, 0.000], [0.000, 0.000, 7.467]], "species": ["I", "I", "P", "Sb", "Sr"], "fractional_positions": [[0.000, 0.500, 0.000], [0.500, 0.000, 0.000], [0.500, 0.500, 0.500], [0.000, 0.000, 0.500], [0.000, 0.000, 0.000]]}



Values of final energy, in order: -44.900, -18.464, -12.761, all in eV/cell.
Values of mass density, in order: 10.34, 5.75, 2.82, all in g/cm3.